# 1
Compound: Ac8Si3TeBr4
Source: Alexandria
Functional: PBE-GGA
Structure: optimized geometry

a b c (Å): 9.2850 9.2850 22.3548
angles (deg): 90.00 90.00 120.00
Space group R-3m (No. 166, hexagonal axes)
One atom of each set of equivalent atoms:
Ac  0.0000  0.0000  0.2380
Ac  0.0224  0.5112  0.7588
Si  0.0000  0.5000  0.5000
Te  0.0000  0.0000  0.5000
Br  0.0000  0.0000  0.0000
Br  0.0000  0.5000  0.0000



# 2
Compound: Ac4SiTeBr2
Source: Alexandria
Functional: PBE-GGA
Structure: optimized geometry

a b c (Å): 7.764 4.596 8.306
angles (deg): 90.00 109.44 90.00
Space group P2/m (No. 10)
One atom of each set of equivalent atoms:
Ac  0.224  0.000  0.217
Ac  0.237  0.500  0.774
Si  0.000  0.500  0.000
Te  0.000  0.000  0.500
Br  0.500  0.000  0.000
Br  0.500  0.500  0.500



# 3
Compound: Ac6Si2TeBr3
Source: Alexandria
Functional: PBE-GGA
Structure: optimized geometry

a b c (Å): 19.931 4.596 9.247
angles (deg): 90.00 101.16 90.00
Space group C2/m (No. 12)
One atom of each set of equivalent atoms:
Ac  0.014  0.000  0.260
Ac  0.171  0.500  0.116
Ac  0.174  0.500  0.566
Si  0.168  0.000  0.335
Te  0.000  0.500  0.000
Br  0.000  0.500  0.500
Br  0.162  0.000  0.834



# 4
Compound: Ac4SiTe2Br
Source: Alexandria
Functional: PBE-GGA
Structure: optimized geometry

a b c (Å): 7.985 4.623 8.168
angles (deg): 90.00 108.96 90.00
Space group P2/m (No. 10)
One atom of each set of equivalent atoms:
Ac  0.226  0.000  0.224
Ac  0.237  0.500  0.766
Si  0.000  0.500  0.000
Te  0.000  0.000  0.500
Te  0.500  0.500  0.500
Br  0.500  0.000  0.000



# 5
Compound: Ac4ZnSiBr2
Source: Alexandria
Functional: PBE-GGA
Structure: optimized geometry

a b c (Å): 7.918 4.543 8.105
angles (deg): 90.00 109.04 90.00
Space group P2/m (No. 10)
One atom of each set of equivalent atoms:
Ac  0.223  0.000  0.235
Ac  0.224  0.500  0.744
Zn  0.000  0.000  0.500
Si  0.000  0.500  0.000
Br  0.500  0.000  0.000
Br  0.500  0.500  0.500



# 6
Compound: AcZnSiBr
Source: Alexandria
Functional: PBE-GGA
Structure: optimized geometry

a b c (Å): 4.3812 4.3812 43.3139
angles (deg): 90.00 90.00 120.00
Space group R-3m (No. 166, hexagonal axes)
One atom of each set of equivalent atoms:
Ac  0.0000  0.0000  0.0782
Zn  0.0000  0.0000  0.3101
Si  0.0000  0.0000  0.3702
Br  0.0000  0.0000  0.2097



# 7
Compound: AcSmBr6
Source: Alexandria
Functional: PBE-GGA
Structure: optimized geometry

a b c (Å): 7.3415 7.3415 20.3471
angles (deg): 90.00 90.00 120.00
Space group R-3 (No. 148, hexagonal axes)
One atom of each set of equivalent atoms:
Ac  0.0000  0.0000  0.0000
Sm  0.0000  0.0000  0.5000
Br  0.0033  0.3231  0.4191



# 8
Compound: AcSmBr2
Source: Alexandria
Functional: PBE-GGA
Structure: optimized geometry

a b c (Å): 3.8295 3.8295 31.8144
angles (deg): 90.00 90.00 120.00
Space group R-3m (No. 166, hexagonal axes)
One atom of each set of equivalent atoms:
Ac  0.0000  0.0000  0.0000
Sm  0.0000  0.0000  0.5000
Br  0.0000  0.0000  0.1011



no.,Fermi-level density of states (states/eV per atom),E_form (uncorrected) (eV per atom),final energy (eV/atom)
1,0.64,-1.133,-4.82
2,0.46,-1.201,-4.74
3,0.54,-1.150,-4.79
4,0.58,-1.261,-4.99
5,0.66,-0.862,-4.17
6,0.00,-0.897,-4.02
7,0.00,-1.905,-4.26
8,0.70,-1.076,-4.12